# 1
Here is a relaxed Hf3Cd3AgF20 crystal from OQMD. Energies are from PBE.

Values from the calculation:
As for the space group: P6_3/m. Its crystal system is hexagonal. The final energy comes out at -306.38 eV/cell.

Cell and atoms, written as POSCAR:
```
Hf3Cd3AgF20
1.0
10.395 0.000 0.000
-5.197 9.002 0.000
0.000 0.000 8.252
F Cd Hf Ag
40 6 6 2
direct
0.140 0.426 0.012
0.667 0.333 0.250
0.056 0.780 0.250
0.475 0.061 0.250
0.939 0.414 0.250
0.037 0.801 0.750
0.426 0.286 0.512
0.183 0.635 0.250
0.365 0.548 0.250
0.548 0.183 0.750
0.286 0.860 0.012
0.860 0.574 0.988
0.286 0.860 0.488
0.426 0.286 0.988
0.780 0.723 0.750
0.333 0.667 0.750
0.963 0.199 0.250
0.525 0.939 0.750
0.714 0.140 0.512
0.236 0.037 0.250
0.764 0.963 0.750
0.199 0.236 0.750
0.061 0.586 0.750
0.723 0.944 0.250
0.817 0.365 0.750
0.000 0.000 0.500
0.574 0.714 0.012
0.414 0.475 0.750
0.635 0.452 0.750
0.801 0.764 0.250
0.860 0.574 0.512
0.574 0.714 0.488
0.000 0.000 0.000
0.140 0.426 0.488
0.586 0.525 0.250
0.452 0.817 0.250
0.944 0.220 0.750
0.277 0.056 0.750
0.714 0.140 0.988
0.220 0.277 0.250
0.162 0.433 0.750
0.838 0.567 0.250
0.433 0.271 0.250
0.567 0.729 0.750
0.271 0.838 0.750
0.729 0.162 0.250
0.279 0.864 0.250
0.415 0.279 0.750
0.136 0.415 0.250
0.721 0.136 0.750
0.864 0.585 0.750
0.585 0.721 0.250
0.000 0.000 0.750
0.000 0.000 0.250
```



# 2
Here is a relaxed K2CdAgF6 crystal from OQMD. Energies are from PBE.

Values from the calculation:
As for the space group: P2_1/c. The calculation puts the relative energy among the computed polymorphs at 0.0 kJ per mole of atoms. Its crystal system is monoclinic. The final energy comes out at -76.33 eV/cell.

Cell and atoms, written as POSCAR:
```
K2CdAgF6
1.0
-5.748 -1.653 0.334
0.722 -3.497 -4.889
7.903 -4.885 4.662
F Ag K Cd
12 2 4 2
direct
0.840 0.700 0.542
0.740 0.203 0.542
0.160 0.200 0.958
0.260 0.703 0.958
0.333 0.022 0.751
0.740 0.297 0.042
0.260 0.797 0.458
0.333 0.478 0.251
0.667 0.978 0.249
0.667 0.522 0.749
0.840 0.800 0.042
0.160 0.300 0.458
0.000 0.500 0.000
0.000 0.000 0.500
0.241 0.047 0.250
0.241 0.453 0.750
0.759 0.547 0.250
0.759 0.953 0.750
0.500 0.500 0.500
0.500 0.000 0.000
```



# 3
Here is a relaxed K2CdAgF6 crystal from OQMD. Energies are from PBE.

Values from the calculation:
As for the space group: I4/m. The calculation puts the relative energy among the computed polymorphs at 0.2 kJ per mole of atoms. Its crystal system is tetragonal. The final energy comes out at -38.15 eV/cell.

Cell and atoms, written as POSCAR:
```
K2CdAgF6
1.0
-3.211 -4.774 -2.009
1.068 -3.286 5.020
-2.376 5.606 0.260
K F Cd Ag
2 6 1 1
direct
0.250 0.750 0.500
0.750 0.250 0.500
0.246 0.246 0.000
0.824 0.675 0.499
0.176 0.325 0.501
0.325 0.824 0.149
0.754 0.754 0.000
0.675 0.176 0.851
0.000 0.000 0.000
0.500 0.500 0.000
```



# 4
Here is a relaxed K2CdAgF6 crystal from OQMD. Energies are from PBE.

Values from the calculation:
As for the space group: R-3. The calculation puts the relative energy among the computed polymorphs at 4.1 kJ per mole of atoms. Its crystal system is trigonal. The final energy comes out at -37.74 eV/cell.

Cell and atoms, written as POSCAR:
```
K2CdAgF6
1.0
-5.384 -0.484 -2.696
-4.845 2.720 2.372
-2.461 4.778 -2.758
K Ag F Cd
2 1 6 1
direct
0.250 0.250 0.250
0.750 0.750 0.750
0.000 0.000 0.000
0.750 0.748 0.250
0.252 0.750 0.250
0.250 0.252 0.750
0.250 0.750 0.748
0.750 0.250 0.252
0.748 0.250 0.750
0.500 0.500 0.500
```



# 5
Here is a relaxed K2CdAgF6 crystal from OQMD. Energies are from PBE.

Values from the calculation:
As for the space group: Fm-3m. The calculation puts the relative energy among the computed polymorphs at 1.5 kJ per mole of atoms. Its crystal system is cubic. The final energy comes out at -38.01 eV/cell.

Cell and atoms, written as POSCAR:
```
K2CdAgF6
1.0
-3.051 3.051 4.313
3.051 -3.051 4.313
3.051 3.051 -4.313
K F Cd Ag
2 6 1 1
direct
0.750 0.250 0.500
0.250 0.750 0.500
0.249 0.249 0.498
0.751 0.751 0.502
0.751 0.751 0.000
0.751 0.249 0.000
0.249 0.249 0.000
0.249 0.751 0.000
0.000 0.000 0.000
0.500 0.500 0.000
```



# 6
Here is a relaxed Rb2CdAgF6 crystal from OQMD. Energies are from PBE.

Values from the calculation:
As for the space group: Fm-3m. Its crystal system is cubic. The final energy comes out at -37.74 eV/cell.

Cell and atoms, written as POSCAR:
```
Rb2CdAgF6
1.0
-5.126 -2.753 -1.835
-4.809 -0.301 3.742
-4.989 3.311 -1.172
Rb F Cd Ag
2 6 1 1
direct
0.750 0.750 0.750
0.250 0.250 0.250
0.251 0.749 0.749
0.749 0.251 0.251
0.749 0.749 0.251
0.749 0.251 0.749
0.251 0.749 0.251
0.251 0.251 0.749
0.500 0.500 0.500
0.000 0.000 0.000
```



# 7
Here is a relaxed CdFeAg3 crystal from OQMD. Energies are from PBE.

Values from the calculation:
As for the space group: P1. Its crystal system is triclinic. The final energy comes out at -16.69 eV/cell. The calculation puts the formation energy from the elements at 197 meV/atom.

Cell and atoms, written as POSCAR:
```
CdFeAg3
1.0
-0.972 2.702 0.105
-4.756 -0.470 -1.352
-3.425 0.049 5.666
Ag Cd Fe
3 1 1
direct
0.676 0.322 0.133
0.924 0.735 0.315
0.069 0.135 0.545
0.284 0.543 0.739
0.507 0.932 0.935
```



# 8
Here is a relaxed CdFeAgGe crystal from OQMD. Energies are from PBE.

Values from the calculation:
As for the space group: F-43m. The calculation puts the relative energy among the computed polymorphs at 0.0 kJ per mole of atoms. Its crystal system is cubic. The final energy comes out at -15.41 eV/cell.

Cell and atoms, written as POSCAR:
```
CdFeAgGe
1.0
0.000 3.239 3.239
3.239 0.000 3.239
3.239 3.239 0.000
Ge Cd Fe Ag
1 1 1 1
direct
0.000 0.000 0.000
0.500 0.500 0.500
0.750 0.750 0.750
0.250 0.250 0.250
```



# 9
Here is a relaxed CdFeAgPb crystal from OQMD. Energies are from PBE.

Values from the calculation:
As for the space group: F-43m. The calculation puts the relative energy among the computed polymorphs at 0.0 kJ per mole of atoms. Its crystal system is cubic. The final energy comes out at -14.18 eV/cell.

Cell and atoms, written as POSCAR:
```
CdFeAgPb
1.0
2.005 -3.683 -2.393
-0.352 -4.489 1.743
-2.800 -3.242 -2.227
Fe Ag Cd Pb
1 1 1 1
direct
0.750 0.750 0.750
0.250 0.250 0.250
0.500 0.500 0.500
0.000 0.000 0.000
```



# 10
Here is a relaxed CdFeAgSb crystal from OQMD. Energies are from PBE.

Values from the calculation:
As for the space group: F-43m. The calculation puts the relative energy among the computed polymorphs at 0.0 kJ per mole of atoms. Its crystal system is cubic. The final energy comes out at -14.78 eV/cell.

Cell and atoms, written as POSCAR:
```
CdFeAgSb
1.0
4.112 1.130 2.122
0.263 3.858 2.781
0.460 -0.491 4.715
Ag Sb Cd Fe
1 1 1 1
direct
0.250 0.250 0.250
0.000 0.000 0.000
0.500 0.500 0.500
0.750 0.750 0.750
```



# 11
Here is a relaxed CdFeSiAg crystal from OQMD. Energies are from PBE.

Values from the calculation:
As for the space group: F-43m. The calculation puts the relative energy among the computed polymorphs at 0.0 kJ per mole of atoms. Its crystal system is cubic. The final energy comes out at -16.07 eV/cell.

Cell and atoms, written as POSCAR:
```
CdFeSiAg
1.0
0.000 3.167 3.167
3.167 0.000 3.167
3.167 3.167 0.000
Fe Si Cd Ag
1 1 1 1
direct
0.750 0.750 0.750
0.000 0.000 0.000
0.500 0.500 0.500
0.250 0.250 0.250
```



# 12
Here is a relaxed TlCdFeAg crystal from OQMD. Energies are from PBE.

Values from the calculation:
As for the space group: F-43m. The calculation puts the relative energy among the computed polymorphs at 0.0 kJ per mole of atoms. Its crystal system is cubic. The final energy comes out at -12.84 eV/cell.

Cell and atoms, written as POSCAR:
```
TlCdFeAg
1.0
-4.697 -0.597 0.555
-2.065 1.076 4.161
-2.863 3.798 0.329
Tl Ag Cd Fe
1 1 1 1
direct
0.000 0.000 0.000
0.250 0.250 0.250
0.500 0.500 0.500
0.750 0.750 0.750
```



# 13
Here is a relaxed ZnCdFeAg crystal from OQMD. Energies are from PBE.

Values from the calculation:
As for the space group: F-43m. The calculation puts the relative energy among the computed polymorphs at 0.0 kJ per mole of atoms. Its crystal system is cubic. The final energy comes out at -12.35 eV/cell. The calculation puts the formation energy from the elements at 235 meV/atom.

Cell and atoms, written as POSCAR:
```
ZnCdFeAg
1.0
0.000 3.199 3.199
3.199 0.000 3.199
3.199 3.199 0.000
Cd Zn Fe Ag
1 1 1 1
direct
0.500 0.500 0.500
0.000 0.000 0.000
0.750 0.750 0.750
0.250 0.250 0.250
```



# 14
Here is a relaxed Cd2GaAg crystal from OQMD. Energies are from PBE.

Values from the calculation:
As for the space group: F-43m. Its crystal system is cubic. The final energy comes out at -7.41 eV/cell.

Cell and atoms, written as POSCAR:
```
Cd2GaAg
1.0
-0.775 2.561 4.080
-2.995 3.850 -0.069
-4.326 -0.235 2.243
Cd Ag Ga
2 1 1
direct
0.000 0.000 0.000
0.750 0.750 0.750
0.250 0.250 0.250
0.500 0.500 0.500
```



# 15
Here is a relaxed CdGaAg2 crystal from OQMD. Energies are from PBE.

Values from the calculation:
As for the space group: F-43m. Its crystal system is cubic. The final energy comes out at -9.50 eV/cell.

Cell and atoms, written as POSCAR:
```
CdGaAg2
1.0
0.000 3.358 3.358
3.358 0.000 3.358
3.358 3.358 0.000
Ga Ag Cd
1 2 1
direct
0.500 0.500 0.500
0.750 0.750 0.750
0.000 0.000 0.000
0.250 0.250 0.250
```



# 16
Here is a relaxed CdGaAg crystal from OQMD. Energies are from PBE.

Values from the calculation:
As for the space group: F-43m. The calculation puts the relative energy among the computed polymorphs at 0.0 kJ per mole of atoms. Its crystal system is cubic. The final energy comes out at -6.59 eV/cell.

Cell and atoms, written as POSCAR:
```
CdGaAg
1.0
0.000 3.218 3.218
3.218 0.000 3.218
3.218 3.218 0.000
Ag Ga Cd
1 1 1
direct
0.500 0.500 0.500
0.750 0.750 0.750
0.250 0.250 0.250
```



# 17
Here is a relaxed Pr2GdCd3Ga2Ag crystal from OQMD. Energies are from PBE.

Values from the calculation:
As for the space group: Amm2. Its crystal system is orthorhombic. The final energy comes out at -30.13 eV/cell.

Cell and atoms, written as POSCAR:
```
Pr2GdCd3Ga2Ag
1.0
4.426 0.000 0.000
0.000 6.515 3.778
0.000 -6.515 3.778
Ga Ag Cd Pr Gd
2 1 3 2 1
direct
0.500 0.338 0.666
0.500 0.666 0.338
0.000 0.995 0.995
0.500 0.998 0.749
0.500 0.252 0.252
0.500 0.749 0.998
0.000 0.001 0.418
0.000 0.418 0.001
0.000 0.583 0.583
```



# 18
Here is a relaxed Gd2YCd3Ga2Ag crystal from OQMD. Energies are from PBE.

Values from the calculation:
As for the space group: Amm2. Its crystal system is orthorhombic. The final energy comes out at -31.85 eV/cell.

Cell and atoms, written as POSCAR:
```
Gd2YCd3Ga2Ag
1.0
-0.747 -3.511 -2.468
6.754 -2.556 1.590
-5.733 -1.808 4.307
Gd Cd Ga Y Ag
2 3 2 1 1
direct
0.000 0.000 0.418
0.000 0.418 0.000
0.500 0.253 0.253
0.500 0.000 0.747
0.500 0.747 0.000
0.500 0.667 0.334
0.500 0.334 0.667
0.000 0.582 0.582
0.000 0.999 0.999
```



# 19
Here is a relaxed Ho3Cd3Ga2Ag crystal from OQMD. Energies are from PBE.

Values from the calculation:
As for the space group: P-62m. Its crystal system is hexagonal. The final energy comes out at -29.56 eV/cell.

Cell and atoms, written as POSCAR:
```
Ho3Cd3Ga2Ag
1.0
-7.123 -2.068 -0.851
5.128 -2.136 -4.987
0.730 -3.428 2.220
Ho Cd Ag Ga
3 3 1 2
direct
0.583 0.000 0.500
0.417 0.417 0.500
0.000 0.583 0.500
0.742 0.742 0.000
0.000 0.258 0.000
0.258 0.000 0.000
0.000 0.000 0.500
0.667 0.333 0.000
0.333 0.667 0.000
```



# 20
Here is a relaxed Li4CdGa2Ag crystal from OQMD. Energies are from PBE.

Values from the calculation:
As for the space group: P-4m2. Its crystal system is tetragonal. The final energy comes out at -19.80 eV/cell.

Cell and atoms, written as POSCAR:
```
Li4CdGa2Ag
1.0
-4.146 0.414 1.607
-0.292 -4.439 0.391
2.314 0.365 5.877
Li Ga Cd Ag
4 2 1 1
direct
0.500 0.000 0.758
0.000 0.000 0.500
0.000 0.500 0.242
0.500 0.500 0.000
0.000 0.500 0.762
0.500 0.000 0.238
0.500 0.500 0.500
0.000 0.000 0.000
```



# 21
Here is a relaxed Pr2NdCd3Ga2Ag crystal from OQMD. Energies are from PBE.

Values from the calculation:
As for the space group: Amm2. Its crystal system is orthorhombic. The final energy comes out at -30.23 eV/cell.

Cell and atoms, written as POSCAR:
```
Pr2NdCd3Ga2Ag
1.0
-3.580 -2.482 -0.977
3.864 -6.270 1.770
-3.973 3.632 5.329
Pr Cd Ag Ga Nd
2 3 1 2 1
direct
0.000 0.417 0.000
0.000 0.000 0.417
0.500 0.751 0.999
0.500 0.250 0.250
0.500 0.999 0.751
0.000 0.999 0.999
0.500 0.335 0.666
0.500 0.666 0.335
0.000 0.583 0.583
```



# 22
Here is a relaxed Nd2YCd3Ga2Ag crystal from OQMD. Energies are from PBE.

Values from the calculation:
As for the space group: Amm2. Its crystal system is orthorhombic. The final energy comes out at -32.00 eV/cell.

Cell and atoms, written as POSCAR:
```
Nd2YCd3Ga2Ag
1.0
4.400 0.000 0.000
0.000 6.470 3.759
0.000 -6.470 3.759
Nd Cd Ga Y Ag
2 3 2 1 1
direct
0.000 0.418 0.001
0.000 0.001 0.418
0.500 0.253 0.253
0.500 0.998 0.748
0.500 0.748 0.998
0.500 0.666 0.337
0.500 0.337 0.666
0.000 0.583 0.583
0.000 0.996 0.996
```



# 23
Here is a relaxed Pr3Cd3GaAg2 crystal from OQMD. Energies are from PBE.

Values from the calculation:
As for the space group: P-62m. Its crystal system is hexagonal. The final energy comes out at -29.01 eV/cell.

Cell and atoms, written as POSCAR:
```
Pr3Cd3GaAg2
1.0
7.680 0.000 0.000
-3.840 6.651 0.000
0.000 0.000 4.405
Cd Pr Ag Ga
3 3 2 1
direct
0.244 0.000 0.500
0.756 0.756 0.500
0.000 0.244 0.500
0.589 0.000 0.000
0.411 0.411 0.000
0.000 0.589 0.000
0.667 0.333 0.500
0.333 0.667 0.500
0.000 0.000 0.000
```